No. 1
4
Lattice="-2.277 1.786 -2.199 -2.589 -0.400 2.357 -0.547 6.365 5.737" Properties=species:S:1:pos:R:3 comment="KScZn2 | Alexandria | PBE | optimized geometry" dos_ef_per_ev_fu=3.952 formation_energy_ev_per_fu=-0.03 e_above_lowest_polymorph_mev_per_atom=0.0 pbc="T T T"
Sc -3.491 5.367 4.971
Zn -1.415 3.488 4.298
Zn -0.700 5.861 5.486
K -1.923 2.384 0.924

***

No. 2
14
Lattice="-2.307 -0.398 -3.638 -2.312 -5.319 -0.524 -12.054 3.222 4.720" Properties=species:S:1:pos:R:3 comment="Er3AlGa3 | Alexandria | PBE | optimized geometry" dos_ef_per_ev_fu=5.143 formation_energy_ev_per_fu=-4.23 pbc="T T T"
Er -7.167 -2.515 -0.324
Er -9.506 0.020 0.882
Er -12.709 1.283 2.776
Er -12.801 -1.758 0.594
Er -3.872 -0.737 -0.036
Er -3.964 -3.778 -2.217
Al -6.676 0.537 -0.969
Al -9.997 -3.032 1.528
Ga -13.379 -1.587 3.515
Ga -6.438 -0.107 1.522
Ga -10.235 -2.389 -0.964
Ga -3.294 -0.908 -2.956
Ga -6.898 -4.022 -2.902
Ga -9.775 1.527 3.460